Below is a geometry-optimized CaFeOF2 structure, with properties calculated at the PBE with a Hubbard U level.

Cell: 4.0809 4.0809 4.0184 Å, 90.00 90.00 90.00°
Closest atoms and distances in Å follow each position.
Positions (direct):
1 Ca 0.0000 0.0000 0.0000  8 F 2.86, 4 O 2.89
2 Fe 0.5000 0.5000 0.5000  2 O 2.01, 4 F 2.04
3 O 0.5000 0.5000 0.0000  2 Fe 2.01
4 F 0.0000 0.5000 0.5000  2 Fe 2.04
5 F 0.5000 0.0000 0.5000  2 Fe 2.04

Output
Energy relative to the lowest polymorph listed for this composition, meV per atom: 0
Magnetic moment, Bohr magnetons per cell: 4.00